A plane-wave DFT calculation with PBE-GGA was carried out for crystalline Zr3TiH at its relaxed geometry.

Unit cell a=4.9735 b=4.9735 c=4.9735 alpha=90.00 beta=90.00 gamma=90.00
Space group Pm-3m (No. 221)
Symmetry-distinct sites (fractional):
Zr 0.0000 0.0000 0.5000
Ti 0.0000 0.0000 0.0000
H 0.5000 0.5000 0.5000

## Properties
Total energy   -5.9472 eV/atom
ρ   4.354 g/cm3
Magnetization   0.00 μB per formula unit